VASP calculation (PBEsol) on a relaxed BaLiAs2Br crystal.

```
5
Lattice="-3.7688 4.4089 -1.9816 1.3500 -1.3451 -5.5602 -4.4344 -3.8553 -0.1440" Properties=species:S:1:pos:R:3 pbc="T T T"
As 0.6750 -0.6725 -2.7801
Li -3.4266 -0.3957 -3.8429
Ba 0.0000 0.0000 0.0000
As -2.2172 -1.9276 -0.0720
Br -1.8844 2.2045 -0.9908
```

Results
Space-group type   P4/mmm (123)

---

VASP calculation (PBEsol) on a relaxed BaNbAsBr2 crystal.

```
5
Lattice="5.9002 0.0000 0.0000 0.0000 5.9002 0.0000 0.0000 0.0000 6.1481" Properties=species:S:1:pos:R:3 pbc="T T T"
Br 2.9501 0.0000 0.0000
As 0.0000 0.0000 3.0741
Nb 2.9501 2.9501 3.0741
Ba 0.0000 0.0000 0.0000
Br 0.0000 2.9501 0.0000
```

Results
Space-group type   P4/mmm (123)

---

VASP calculation (PBEsol) on a relaxed BaAs2OsBr crystal.

```
5
Lattice="5.7946 0.0000 0.0000 0.0000 5.7299 0.0000 0.0000 0.0000 5.7299" Properties=species:S:1:pos:R:3 pbc="T T T"
Os 2.8973 2.8650 2.8650
Br 2.8973 0.0000 0.0000
Ba 0.0000 0.0000 0.0000
As 0.0000 0.0000 2.8650
As 0.0000 2.8650 0.0000
```

Results
Space-group type   P4/mmm (123)

---

VASP calculation (PBEsol) on a relaxed BaAsPBr2 crystal.

```
5
Lattice="-0.3904 -6.1305 -0.7388 1.9568 -0.8249 5.8114 -6.3985 0.1453 2.1752" Properties=species:S:1:pos:R:3 pbc="T T T"
Ba 0.0000 0.0000 0.0000
Br -0.1952 -3.0653 -0.3694
Br 0.9784 -0.4125 2.9057
As -3.1992 0.0727 1.0876
P -2.4160 -3.4051 3.6239
```

Results
Space-group type   P4/mmm (123)

---

VASP calculation (PBEsol) on a relaxed BaAsPdBr2 crystal.

```
5
Lattice="-1.9261 4.2352 -3.9583 -4.9427 0.9796 3.4532 3.2058 4.5422 3.3001" Properties=species:S:1:pos:R:3 pbc="T T T"
Br -0.9630 2.1176 -1.9791
Ba 0.0000 0.0000 0.0000
Br -2.4713 0.4898 1.7266
As 1.6029 2.2711 1.6500
Pd -1.8315 4.8785 1.3975
```

Results
Space-group type   P4/mmm (123)

---

VASP calculation (PBEsol) on a relaxed BaAs2PtBr crystal.

```
5
Lattice="-1.1606 -3.7959 4.1346 5.1733 -2.4067 -0.7574 2.2378 3.5785 3.9136" Properties=species:S:1:pos:R:3 pbc="T T T"
Ba 0.0000 0.0000 0.0000
As 1.1189 1.7892 1.9568
Br -0.5803 -1.8980 2.0673
Pt 3.1252 -1.3121 3.6454
As 2.5867 -1.2034 -0.3787
```

Results
Space-group type   P4/mmm (123)

---

VASP calculation (PBEsol) on a relaxed BaSnAs2Br crystal.

```
5
Lattice="5.1884 0.0000 0.0000 0.0000 5.1884 0.0000 0.0000 0.0000 5.7477" Properties=species:S:1:pos:R:3 pbc="T T T"
As 0.0000 2.5942 0.0000
Br 0.0000 0.0000 2.8739
Sn 0.0000 0.0000 0.0000
Ba 2.5942 2.5942 2.8739
As 2.5942 0.0000 0.0000
```

Results
Space-group type   P4/mmm (123)

---

VASP calculation (PBEsol) on a relaxed BaTcAs2Br crystal.

```
5
Lattice="-3.3290 0.1492 4.7782 -0.4440 -5.6966 -0.1314 4.6692 -0.4393 3.2668" Properties=species:S:1:pos:R:3 pbc="T T T"
Ba 0.0000 0.0000 0.0000
Tc 0.4481 -2.9934 3.9568
As -0.2220 -2.8483 -0.0657
Br -1.6645 0.0746 2.3891
As 2.3346 -0.2196 1.6334
```

Results
Space-group type   P4/mmm (123)

---

no.,uncorrected formation energy (kJ/mol of formula units),D(E_F) (states/eV per atom),density (Mg/m³)
1,113,0.971,2.93
2,332,2.434,3.61
3,972,1.698,4.86
4,182,1.406,2.59
5,154,2.864,3.29
6,699,1.901,4.92
7,-204,0.428,5.21
8,730,0.792,4.06